Entry 1:
Material: KAs2W
Method: DFT, PBE
State: relaxed

Summary:
ΔE_f in eV per atom: 0.64
Energy above the most stable polymorph in this dataset in eV per atom: 0.728
Size of the total moment in μB/cell: 7.382

a b c (Å): 6.7940 6.7940 6.7940
angles (deg): 90.00 90.00 90.00
Element x y z (fractional)
K  0.0000  0.0000  0.0000
K  0.0000  0.5000  0.5000
K  0.5000  0.0000  0.5000
K  0.5000  0.5000  0.0000
As  0.2500  0.2500  0.2500
As  0.2500  0.2500  0.7500
As  0.2500  0.7500  0.2500
As  0.2500  0.7500  0.7500
As  0.7500  0.2500  0.2500
As  0.7500  0.2500  0.7500
As  0.7500  0.7500  0.2500
As  0.7500  0.7500  0.7500
W  0.0000  0.0000  0.5000
W  0.0000  0.5000  0.0000
W  0.5000  0.0000  0.0000
W  0.5000  0.5000  0.5000

=====

Entry 2:
Material: SrPrInO4
Method: DFT, PBE
State: relaxed

Summary:
Size of the total moment in μB/cell: 0.000
Total DFT energy (no corrections) in eV per atom: -6.6687

a b c (Å): 5.9055 6.0526 12.4824
angles (deg): 90.00 90.00 90.00
Element x y z (fractional)
Sr  0.0056  0.0466  0.3515
Sr  0.4944  0.9534  0.8515
Sr  0.5056  0.4534  0.6485
Sr  0.9944  0.5466  0.1485
Pr  0.0137  0.4364  0.8521
Pr  0.4863  0.5636  0.3521
Pr  0.5137  0.0636  0.1479
Pr  0.9863  0.9364  0.6479
In  0.0037  0.9931  0.0006
In  0.4963  0.0069  0.5006
In  0.5037  0.5069  0.9994
In  0.9963  0.4931  0.4994
O  0.0807  0.0456  0.8224
O  0.1102  0.4595  0.3320
O  0.1891  0.1950  0.5394
O  0.2151  0.2874  0.0306
O  0.2849  0.7126  0.5306
O  0.3109  0.8050  0.0394
O  0.3898  0.5405  0.8320
O  0.4193  0.9544  0.3224
O  0.5807  0.4544  0.1776
O  0.6102  0.0405  0.6680
O  0.6891  0.3050  0.4606
O  0.7151  0.2126  0.9694
O  0.7849  0.7874  0.4694
O  0.8109  0.6950  0.9606
O  0.8898  0.9595  0.1680
O  0.9193  0.5456  0.6776

=====

Entry 3:
Material: Cr2AgHg
Method: DFT, PBE
State: relaxed

Summary:
ΔE_f in eV per atom: 0.32
Size of the total moment in μB/cell: 0.174

a b c (Å): 3.0330 3.0330 7.2779
angles (deg): 90.00 90.00 90.00
Element x y z (fractional)
Cr  0.0000  0.0000  0.0000
Cr  0.5000  0.5000  0.1620
Ag  0.5000  0.5000  0.7367
Hg  0.0000  0.0000  0.4405

=====

Entry 4:
Material: Nd8Te4As3C
Method: DFT, PBE
State: relaxed

Summary:
Size of the total moment in μB/cell: 0.000
Total DFT energy (no corrections) in eV per atom: -5.9535

a b c (Å): 8.8022 8.8022 8.8022
angles (deg): 58.12 58.12 58.12
Element x y z (fractional)
Nd  0.2407  0.2407  0.2407
Nd  0.2603  0.7243  0.7243
Nd  0.2757  0.2757  0.7397
Nd  0.2757  0.7397  0.2757
Nd  0.7243  0.2603  0.7243
Nd  0.7243  0.7243  0.2603
Nd  0.7397  0.2757  0.2757
Nd  0.7593  0.7593  0.7593
Te  0.0000  0.0000  0.0000
Te  0.0000  0.5000  0.5000
Te  0.5000  0.0000  0.5000
Te  0.5000  0.5000  0.0000
As  0.0000  0.0000  0.5000
As  0.0000  0.5000  0.0000
As  0.5000  0.0000  0.0000
C  0.5000  0.5000  0.5000